First-principles (PBE) data for an optimized crystal structure of HoMgScRh, as listed in the Alexandria database.

Space-group type: F-43m, No. 216
Formation energy in eV per atom: -0.43
E in eV/atom: -5.39
DOS at the Fermi energy in states/eV/atom: 0.60

Geometry as CIF:
```
data_HoMgScRh
_cell_length_a 4.900
_cell_length_b 4.900
_cell_length_c 4.900
_cell_angle_alpha 60.00
_cell_angle_beta 60.00
_cell_angle_gamma 60.00
_space_group_name_H-M_alt 'P 1'
_space_group_IT_number 1
loop_
_space_group_symop_operation_xyz
'x,y,z'
loop_
_atom_site_label
_atom_site_type_symbol
_atom_site_fract_x
_atom_site_fract_y
_atom_site_fract_z
Mg1 Mg 0.750 0.750 0.750
Ho1 Ho 0.500 0.500 0.500
Rh1 Rh 0.250 0.250 0.250
Sc1 Sc 0.000 0.000 0.000
```